[1]
This record from Alexandria describes a geometry-optimized Ce2TmRe structure. The functional is PBE.

Calculated values
N(E_F) = 6.85 states/eV/f.u.
theoretical density = 9.3 g/cm3
VASP energy = -6.87 eV/atom
V = 28.25 A^3/atom

a = 3.842 Å, b = 3.842 Å, c = 9.113 Å
α = 77.83°, β = 77.83°, γ = 60.00°
Element x y z (fractional)
Ce 0.729 0.729 0.814
Ce 0.271 0.271 0.186
Tm 0.500 0.500 0.500
Re 0.000 0.000 0.000

[2]
This record from Alexandria describes a geometry-optimized CeTmZnRe structure. The functional is PBE.

Calculated values
N(E_F) = 5.56 states/eV/f.u.
theoretical density = 11.0 g/cm3
VASP energy = -6.08 eV/atom
V = 21.16 A^3/atom

a = 4.929 Å, b = 4.929 Å, c = 4.929 Å
α = 60.00°, β = 60.00°, γ = 60.00°
Element x y z (fractional)
Re 0.750 0.750 0.750
Tm 0.000 0.000 0.000
Zn 0.250 0.250 0.250
Ce 0.500 0.500 0.500

[3]
This record from Alexandria describes a geometry-optimized CeURe4 structure. The functional is PBE.

Calculated values
N(E_F) = 12.22 states/eV/f.u.
theoretical density = 16.6 g/cm3
VASP energy = -11.14 eV/atom
V = 18.74 A^3/atom

a = 5.418 Å, b = 5.418 Å, c = 5.418 Å
α = 60.00°, β = 60.00°, γ = 60.00°
Element x y z (fractional)
Re 0.125 0.625 0.625
Re 0.625 0.625 0.125
Re 0.625 0.625 0.625
Re 0.625 0.125 0.625
U 0.000 0.000 0.000
Ce 0.250 0.250 0.250

[4]
This record from Alexandria describes a geometry-optimized CeV2Re structure. The functional is PBE.

Calculated values
N(E_F) = 7.28 states/eV/f.u.
theoretical density = 8.9 g/cm3
relative energy among the computed polymorphs = 79 kJ/mol of formula units
VASP energy = -8.88 eV/atom
V = 19.95 A^3/atom

a = 4.220 Å, b = 4.220 Å, c = 5.719 Å
α = 68.35°, β = 68.35°, γ = 60.00°
Element x y z (fractional)
Re 0.000 0.000 0.000
Ce 0.500 0.500 0.500
V 0.702 0.702 0.895
V 0.298 0.298 0.105